Entry 1:
TbDyS3 | PBE | relaxed

abc: 8.224 8.224 8.351
angles: 116.75 116.75 28.98
Sites, in units of the cell vectors:
Tb1 0.130 0.130 0.291
Tb2 0.870 0.870 0.709
Dy1 0.352 0.352 0.239
Dy2 0.648 0.648 0.761
S1 0.144 0.144 0.974
S2 0.234 0.234 0.657
S3 0.455 0.455 0.637
S4 0.545 0.545 0.363
S5 0.766 0.766 0.343
S6 0.856 0.856 0.026

Output
Offset from the most stable computed form   15.1 meV per atom
Formation energy without anion corrections   -2.027 eV per atom

Entry 2:
Tb6DyS8 | PBE | relaxed

abc: 7.837 7.837 7.837
angles: 60.00 60.00 60.00
Sites, in units of the cell vectors:
Tb1 0.000 0.000 0.500
Tb2 0.000 0.500 0.000
Tb3 0.000 0.500 0.500
Tb4 0.500 0.000 0.000
Tb5 0.500 0.000 0.500
Tb6 0.500 0.500 0.000
Dy1 0.000 0.000 0.000
S1 0.250 0.250 0.250
S2 0.250 0.250 0.750
S3 0.250 0.750 0.250
S4 0.250 0.750 0.750
S5 0.750 0.250 0.250
S6 0.750 0.250 0.750
S7 0.750 0.750 0.250
S8 0.750 0.750 0.750

Output
Formation energy without anion corrections   -2.061 eV per atom

Entry 3:
Tb4Dy3S8 | PBE | relaxed

abc: 7.818 7.818 7.817
angles: 119.99 119.99 90.01
Sites, in units of the cell vectors:
Tb1 0.000 0.000 0.000
Tb2 0.000 0.500 0.000
Tb3 0.500 0.000 0.000
Tb4 0.500 0.500 0.500
Dy1 0.000 0.500 0.500
Dy2 0.500 0.000 0.500
Dy3 0.500 0.500 0.000
S1 0.249 0.249 0.501
S2 0.249 0.249 0.997
S3 0.249 0.751 0.500
S4 0.251 0.749 0.000
S5 0.749 0.251 0.000
S6 0.751 0.249 0.500
S7 0.751 0.751 0.003
S8 0.751 0.751 0.499

Output
Formation energy without anion corrections   -2.055 eV per atom

Entry 4:
Tb2DyS4 | PBE | relaxed

abc: 6.771 6.771 13.158
angles: 90.00 90.00 147.31
Sites, in units of the cell vectors:
Tb1 0.129 0.871 0.570
Tb2 0.129 0.871 0.930
Tb3 0.871 0.129 0.070
Tb4 0.871 0.129 0.430
Dy1 0.373 0.627 0.750
Dy2 0.627 0.373 0.250
S1 0.025 0.975 0.750
S2 0.223 0.777 0.123
S3 0.223 0.777 0.377
S4 0.500 0.500 0.000
S5 0.500 0.500 0.500
S6 0.777 0.223 0.623
S7 0.777 0.223 0.877
S8 0.975 0.025 0.250

Output
Offset from the most stable computed form   21.1 meV per atom
Formation energy without anion corrections   -2.049 eV per atom

| no. | calculated total energy (eV per atom) |
| --- | --- |
| 1 | -6.35 |
| 2 | -6.42 |
| 3 | -6.41 |
| 4 | -6.39 |